Computed, not measured: LaCoIr after structural relaxation at the PBE level of DFT.

E_form   0.52 eV per atom

Unit cell a=2.9244 b=2.9244 c=7.3506 alpha=90.00 beta=90.00 gamma=120.00
Space group P3m1 (No. 156)
Inequivalent atoms, fractional coordinates:
La1 0.0000 0.0000 0.0000 (multiplicity 1)
Co1 0.6667 0.3333 0.3686 (multiplicity 1)
Ir1 0.3333 0.6667 0.6333 (multiplicity 1)

---

Computed, not measured: LaTbPd2 after structural relaxation at the PBE level of DFT.

E_form   -0.86 eV per atom
Polymorph energy (0 for the lowest one)   0.000 eV per atom

Unit cell a=4.637 b=3.867 c=10.821 alpha=90.00 beta=90.00 gamma=90.00
Space group Amm2 (No. 38)
Inequivalent atoms, fractional coordinates:
La1 0.000 0.000 0.000 (multiplicity 2)
Tb1 0.500 0.000 0.728 (multiplicity 2)
Pd1 0.000 0.000 0.273 (multiplicity 2)
Pd2 0.500 0.000 0.447 (multiplicity 2)

---

Computed, not measured: Mn3RuAu after structural relaxation at the PBE level of DFT.

E_form   1.08 eV per atom
Polymorph energy (0 for the lowest one)   0.000 eV per atom

Unit cell a=4.696 b=4.696 c=4.696 alpha=90.00 beta=90.00 gamma=90.00
Space group Pm-3m (No. 221)
Inequivalent atoms, fractional coordinates:
Mn1 0.000 0.000 0.500 (multiplicity 3)
Ru1 0.000 0.000 0.000 (multiplicity 1)
Au1 0.500 0.500 0.500 (multiplicity 1)

---

Computed, not measured: Cu4S3 after structural relaxation at the PBE level of DFT.

ΔE_f (raw)   -0.08 eV per atom

Unit cell a=12.092 b=3.461 c=5.963 alpha=90.00 beta=118.02 gamma=90.00
Space group C2/m (No. 12)
Inequivalent atoms, fractional coordinates:
Cu1 0.148 0.000 0.362 (multiplicity 4)
Cu2 0.156 0.500 0.733 (multiplicity 4)
S1 0.000 0.000 0.500 (multiplicity 2)
S2 0.176 0.500 0.148 (multiplicity 4)

---

Computed, not measured: AcZn3Cu4O12 after structural relaxation at the PBE level of DFT.

ΔE_f (raw)   -0.96 eV per atom

Unit cell a=7.489 b=7.489 c=7.489 alpha=90.00 beta=90.00 gamma=90.00
Space group Im-3 (No. 204)
Inequivalent atoms, fractional coordinates:
Ac1 0.000 0.000 0.000 (multiplicity 2)
Zn1 0.000 0.000 0.500 (multiplicity 6)
Cu1 0.250 0.250 0.250 (multiplicity 8)
O1 0.000 0.185 0.307 (multiplicity 24)

---

Computed, not measured: PaVOs after structural relaxation at the PBE level of DFT.

E_form   -0.31 eV per atom
Polymorph energy (0 for the lowest one)   0.000 eV per atom

Unit cell a=4.686 b=5.792 c=7.864 alpha=90.00 beta=90.00 gamma=90.00
Space group Imma (No. 74)
Inequivalent atoms, fractional coordinates:
Pa1 0.000 0.250 0.127 (multiplicity 4)
V1 0.250 0.250 0.750 (multiplicity 4)
Os1 0.000 0.000 0.500 (multiplicity 4)

---

Computed, not measured: Er2Zn15Ni2 after structural relaxation at the PBE level of DFT.

E_form   -0.22 eV per atom

Unit cell a=8.8449 b=8.8449 c=13.0703 alpha=90.00 beta=90.00 gamma=120.00
Space group R-3m (No. 166, hexagonal axes)
Inequivalent atoms, fractional coordinates:
Er1 0.0000 0.0000 0.1695 (multiplicity 6)
Zn1 0.0000 0.2855 0.5000 (multiplicity 18)
Zn2 0.0000 0.5000 0.0000 (multiplicity 9)
Zn3 0.0021 0.5010 0.6501 (multiplicity 18)
Ni1 0.0000 0.0000 0.3972 (multiplicity 6)

---

Computed, not measured: Er2TiSi3Ir4 after structural relaxation at the PBE level of DFT.

ΔE_f (raw)   -1.04 eV per atom

Unit cell a=4.051 b=4.051 c=10.427 alpha=90.00 beta=90.00 gamma=90.00
Space group P-4m2 (No. 115)
Inequivalent atoms, fractional coordinates:
Er1 0.000 0.500 0.240 (multiplicity 2)
Ti1 0.000 0.000 0.500 (multiplicity 1)
Si1 0.000 0.500 0.873 (multiplicity 2)
Si2 0.500 0.500 0.500 (multiplicity 1)
Ir1 0.000 0.000 0.000 (multiplicity 1)
Ir2 0.000 0.500 0.644 (multiplicity 2)
Ir3 0.500 0.500 0.000 (multiplicity 1)

---

Computed, not measured: Ba2Zn3CdAg4 after structural relaxation at the PBE level of DFT.

E_form   -0.21 eV per atom

Unit cell a=4.754 b=4.754 c=11.009 alpha=90.00 beta=90.00 gamma=90.00
Space group P-4m2 (No. 115)
Inequivalent atoms, fractional coordinates:
Ba1 0.000 0.500 0.242 (multiplicity 2)
Zn1 0.000 0.500 0.883 (multiplicity 2)
Zn2 0.500 0.500 0.500 (multiplicity 1)
Cd1 0.000 0.000 0.500 (multiplicity 1)
Ag1 0.000 0.000 0.000 (multiplicity 1)
Ag2 0.000 0.500 0.640 (multiplicity 2)
Ag3 0.500 0.500 0.000 (multiplicity 1)

---

Computed, not measured: RuAu4 after structural relaxation at the PBE level of DFT.

E_form   0.29 eV per atom
Polymorph energy (0 for the lowest one)   0.000 eV per atom

Unit cell a=6.497 b=6.497 c=4.116 alpha=90.00 beta=90.00 gamma=90.00
Space group I4/m (No. 87)
Inequivalent atoms, fractional coordinates:
Ru1 0.000 0.000 0.000 (multiplicity 2)
Au1 0.103 0.297 0.500 (multiplicity 8)

---

Computed, not measured: Mn2VFe5 after structural relaxation at the PBE level of DFT.

E_form   0.00 eV per atom

Unit cell a=4.003 b=4.003 c=11.413 alpha=90.00 beta=90.00 gamma=90.00
Space group I4/mmm (No. 139)
Inequivalent atoms, fractional coordinates:
Mn1 0.000 0.000 0.247 (multiplicity 4)
V1 0.000 0.000 0.500 (multiplicity 2)
Fe1 0.000 0.000 0.000 (multiplicity 2)
Fe2 0.000 0.500 0.126 (multiplicity 8)

---

Computed, not measured: Rb12Hg2Au5 after structural relaxation at the PBE level of DFT.

E_form   -0.15 eV per atom

Unit cell a=15.093 b=11.715 c=10.414 alpha=90.00 beta=103.72 gamma=90.00
Space group C2/m (No. 12)
Inequivalent atoms, fractional coordinates:
Rb1 0.080 0.000 0.189 (multiplicity 4)
Rb2 0.115 0.301 0.401 (multiplicity 8)
Rb3 0.119 0.500 0.815 (multiplicity 4)
Rb4 0.191 0.160 0.800 (multiplicity 8)
Hg1 0.000 0.288 0.000 (multiplicity 4)
Au1 0.000 0.000 0.500 (multiplicity 2)
Au2 0.097 0.500 0.130 (multiplicity 4)
Au3 0.193 0.000 0.507 (multiplicity 4)

---

| no. | spin magnetization (μB per formula unit) |
| --- | --- |
| 1 | 2.2 |
| 2 | 0.0 |
| 3 | 12.2 |
| 4 | 0.0 |
| 5 | 0.0 |
| 6 | 0.0 |
| 7 | 0.0 |
| 8 | 0.0 |
| 9 | 0.0 |
| 10 | 1.9 |
| 11 | 11.7 |
| 12 | 0.0 |